# 1
A relaxed Th2Al12Pd7 crystal. Source: Alexandria, functional PBE.

Values from the calculation:
ΔH_f (0 K): -0.756 eV/atom
Space group: P-6 (174)

The structure in POSCAR format:
```
Th2Al12Pd7
1.0
9.9266 0.0000 0.0000
-4.9633 8.5967 0.0000
0.0000 0.0000 4.2496
Th Al Pd
2 12 7
Direct
0.0000 0.0000 0.0000 Th
0.3333 0.6667 0.5000 Th
0.0163 0.2797 0.5000 Al
0.1481 0.7608 0.0000 Al
0.2392 0.3873 0.0000 Al
0.2633 0.9837 0.5000 Al
0.3756 0.2039 0.0000 Al
0.5477 0.4155 0.5000 Al
0.5845 0.1323 0.5000 Al
0.6127 0.8519 0.0000 Al
0.7203 0.7367 0.5000 Al
0.7961 0.1717 0.0000 Al
0.8283 0.6244 0.0000 Al
0.8677 0.4523 0.5000 Al
0.0230 0.4571 0.0000 Pd
0.2484 0.2419 0.5000 Pd
0.4341 0.9770 0.0000 Pd
0.5429 0.5659 0.0000 Pd
0.6667 0.3333 0.0000 Pd
0.7581 0.0065 0.5000 Pd
0.9935 0.7516 0.5000 Pd
```



# 2
A relaxed YAsP2 crystal. Source: Alexandria, functional PBE.

Values from the calculation:
ΔH_f (0 K): -0.431 eV/atom
Space group: Immm (71)

The structure in POSCAR format:
```
YAsP2
1.0
3.6322 0.0000 0.0000
0.0000 4.9324 0.0000
0.0000 0.0000 8.3990
Y As P
2 2 4
Direct
0.0000 0.0000 0.0000 Y
0.5000 0.5000 0.5000 Y
0.0000 0.0000 0.5000 As
0.5000 0.5000 0.0000 As
0.0000 0.5000 0.2150 P
0.0000 0.5000 0.7850 P
0.5000 0.0000 0.2850 P
0.5000 0.0000 0.7150 P
```



# 3
A relaxed CuWSe2N crystal. Source: Alexandria, functional PBE.

Values from the calculation:
E above lowest polymorph: 894 meV/atom
Space group: P4/mmm (123)

The structure in POSCAR format:
```
CuWSe2N
1.0
4.9325 0.0000 0.0000
0.0000 4.9325 0.0000
0.0000 0.0000 3.4981
Cu W Se N
1 1 2 1
Direct
0.0000 0.0000 0.0000 Cu
0.5000 0.5000 0.5000 W
0.0000 0.5000 0.0000 Se
0.5000 0.0000 0.0000 Se
0.0000 0.0000 0.5000 N
```



# 4
A relaxed NpHg6 crystal. Source: Alexandria, functional PBE.

Values from the calculation:
ΔH_f (0 K): 0.626 eV/atom
Space group: Im-3m (229)

The structure in POSCAR format:
```
NpHg6
1.0
7.9707 0.0000 0.0000
0.0000 7.9707 0.0000
0.0000 0.0000 7.9707
Np Hg
2 12
Direct
0.0000 0.0000 0.0000 Np
0.5000 0.5000 0.5000 Np
0.0000 0.2500 0.5000 Hg
0.0000 0.5000 0.2500 Hg
0.0000 0.5000 0.7500 Hg
0.0000 0.7500 0.5000 Hg
0.2500 0.0000 0.5000 Hg
0.2500 0.5000 0.0000 Hg
0.5000 0.0000 0.2500 Hg
0.5000 0.0000 0.7500 Hg
0.5000 0.2500 0.0000 Hg
0.5000 0.7500 0.0000 Hg
0.7500 0.0000 0.5000 Hg
0.7500 0.5000 0.0000 Hg
```